No. 1
Here is a geometry-optimized MoAs2Br structure from Alexandria. Energies are from GGA-PBE.

Summary:
VASP energy: -21.38 eV per cell
V: 96.14 Å³/cell

Cell: 4.2355 4.2355 8.3774 Å, 108.49 108.49 42.88°
Fractional positions:
Br 0.7500 0.7500 0.7500
Mo 0.2500 0.2500 0.2500
As 0.5997 0.5997 0.4048
As 0.9003 0.9003 0.0952

---

No. 2
Here is a geometry-optimized MoAsBr3 structure from Alexandria. Energies are from GGA-PBE.

Summary:
VASP energy: -17.03 eV per cell
V: 153.22 Å³/cell

Cell: 5.3511 5.3511 5.3511 Å, 90.00 90.00 90.00°
Each line ends with the local moment (μB).
Fractional positions:
Mo 0.5000 0.5000 0.5000  4.10
Br 0.0000 0.0000 0.5000  0.01
Br 0.5000 0.0000 0.0000  0.01
Br 0.0000 0.5000 0.0000  0.01
As 0.0000 0.0000 0.0000  0.03

---

No. 3
Here is a geometry-optimized MoAs2Br structure from Alexandria. Energies are from GGA-PBE.

Summary:
VASP energy: -19.21 eV per cell
V: 72.25 Å³/cell

Cell: 5.0223 5.0223 5.0223 Å, 130.16 130.16 73.15°
Fractional positions:
As 0.5000 0.5000 0.0000
As 0.0000 0.0000 0.0000
Br 0.2500 0.7500 0.5000
Mo 0.7500 0.2500 0.5000

---

No. 4
Here is a geometry-optimized MoAs2Br structure from Alexandria. Energies are from GGA-PBE.

Summary:
VASP energy: -18.37 eV per cell
V: 74.54 Å³/cell

Cell: 4.7239 4.7239 4.7239 Å, 60.00 60.00 60.00°
Each line ends with the local moment (μB).
Fractional positions:
As 0.2500 0.2500 0.2500  -0.05
As 0.7500 0.7500 0.7500  -0.05
Br 0.0000 0.0000 0.0000  -0.04
Mo 0.5000 0.5000 0.5000  0.96

---

No. 5
Here is a geometry-optimized MoAs2Br structure from Alexandria. Energies are from GGA-PBE.

Summary:
VASP energy: -21.57 eV per cell
V: 81.38 Å³/cell

Cell: 3.2621 3.1714 7.8661 Å, 90.00 90.00 90.00°
Fractional positions:
Br 0.5000 0.5000 0.2500
As 0.0000 0.0000 0.9294
As 0.0000 0.0000 0.5706
Mo 0.5000 0.5000 0.7500

---

No. 6
Here is a geometry-optimized MoAs2Br structure from Alexandria. Energies are from GGA-PBE.

Summary:
VASP energy: -21.96 eV per cell
V: 103.22 Å³/cell

Cell: 4.8041 4.8041 7.0487 Å, 75.21 75.21 41.26°
Each line ends with the local moment (μB).
Fractional positions:
Br 0.5766 0.5766 0.4268  0.02
As 0.7731 0.7731 0.8492  -0.01
As 0.9329 0.9329 0.0873  -0.01
Mo 0.2175 0.2175 0.1367  0.61

---

No. 7
Here is a geometry-optimized MoAs2Br structure from Alexandria. Energies are from GGA-PBE.

Summary:
VASP energy: -21.35 eV per cell
V: 95.45 Å³/cell

Cell: 7.7728 7.7728 7.7728 Å, 156.33 149.52 38.95°
Fractional positions:
Br 0.4067 0.4067 0.0000
As 0.1123 0.1123 0.0000
As 0.7165 0.2165 0.5000
Mo 0.2645 0.7645 0.5000

---

No. 8
Here is a geometry-optimized MoAs2Br structure from Alexandria. Energies are from GGA-PBE.

Summary:
VASP energy: -40.35 eV per cell
V: 232.13 Å³/cell

Cell: 6.4081 6.4081 7.2447 Å, 63.75 63.75 90.00°
Fractional positions:
Br 0.2500 0.7500 0.5000
Br 0.5000 0.5000 0.0000
As 0.0414 0.6250 0.2500
As 0.7086 0.1250 0.2500
As 0.3750 0.2914 0.7500
As 0.8750 0.9586 0.7500
Mo 0.7500 0.2500 0.5000
Mo 0.0000 0.0000 0.0000

---

No. 9
Here is a geometry-optimized MoAs2Br structure from Alexandria. Energies are from GGA-PBE.

Summary:
VASP energy: -20.25 eV per cell
V: 82.87 Å³/cell

Cell: 6.2021 6.2021 6.2021 Å, 151.37 133.17 55.82°
Fractional positions:
Mo 0.2500 0.7500 0.5000
As 0.0605 0.0605 0.0000
As 0.4395 0.4395 0.0000
Br 0.7500 0.2500 0.5000

---

No. 10
Here is a geometry-optimized MoAs2Br structure from Alexandria. Energies are from GGA-PBE.

Summary:
VASP energy: -21.61 eV per cell
V: 83.59 Å³/cell

Cell: 3.2028 3.2419 8.0504 Å, 89.91 90.00 90.00°
Fractional positions:
Mo 0.5000 0.7500 0.7500
As 0.0000 0.2495 0.9250
As 0.0000 0.2505 0.5750
Br 0.5000 0.2500 0.2500

---

No. 11
Here is a geometry-optimized MoAs2Br structure from Alexandria. Energies are from GGA-PBE.

Summary:
VASP energy: -21.57 eV per cell
V: 113.41 Å³/cell

Cell: 3.2899 4.5245 7.8341 Å, 103.46 90.00 90.00°
Each line ends with the local moment (μB).
Fractional positions:
Mo 0.5000 0.6759 0.8350  0.54
As 0.5000 0.2421 0.9747  0.01
As 0.0000 0.9426 0.1066  0.00
Br 0.0000 0.6393 0.5838  0.02

---

No. 12
Here is a geometry-optimized Mo4AsBr structure from Alexandria. Energies are from GGA-PBE.

Summary:
VASP energy: -44.19 eV per cell
V: 106.79 Å³/cell

Cell: 5.3254 5.3254 5.3254 Å, 60.00 60.00 60.00°
Fractional positions:
Mo 0.3736 0.3736 0.3736
Mo 0.8791 0.3736 0.3736
Mo 0.3736 0.3736 0.8791
Mo 0.3736 0.8791 0.3736
As 0.7500 0.7500 0.7500
Br 0.0000 0.0000 0.0000

---

No. 13
Here is a geometry-optimized MoAs2Br structure from Alexandria. Energies are from GGA-PBE.

Summary:
VASP energy: -18.65 eV per cell
V: 75.47 Å³/cell

Cell: 5.0815 5.0815 2.9229 Å, 90.00 90.00 90.00°
Each line ends with the local moment (μB).
Fractional positions:
Br 0.5000 0.0000 0.5000  0.04
As 0.0000 0.0000 0.0000  -0.01
As 0.5000 0.5000 0.0000  -0.01
Mo 0.0000 0.5000 0.5000  1.08

---

No. 14
Here is a geometry-optimized MoAs2Br structure from Alexandria. Energies are from GGA-PBE.

Summary:
VASP energy: -19.30 eV per cell
V: 74.58 Å³/cell

Cell: 5.9009 4.8836 3.3957 Å, 78.84 75.21 121.03°
Fractional positions:
As 0.5000 0.0000 0.5000
As 0.0000 0.0000 0.0000
Mo 0.5000 0.5000 0.0000
Br 0.0000 0.5000 0.5000

---

No. 15
Here is a geometry-optimized MoAsBr structure from Alexandria. Energies are from GGA-PBE.

Summary:
VASP energy: -17.15 eV per cell
V: 64.92 Å³/cell

Cell: 3.2429 3.2429 7.1276 Å, 90.00 90.00 120.00°
Fractional positions:
Br 0.3333 0.6667 0.4090
Mo 0.6667 0.3333 0.6682
As 0.0000 0.0000 0.9228

---

No. 16
Here is a geometry-optimized MoAs2Br structure from Alexandria. Energies are from GGA-PBE.

Summary:
VASP energy: -21.70 eV per cell
V: 79.17 Å³/cell

Cell: 8.2806 8.2806 8.2806 Å, 23.48 23.48 23.48°
Fractional positions:
Br 0.2500 0.2500 0.2500
As 0.0138 0.0138 0.0138
As 0.4862 0.4862 0.4862
Mo 0.7500 0.7500 0.7500

---

No. 17
Here is a geometry-optimized MoAs2Br structure from Alexandria. Energies are from GGA-PBE.

Summary:
VASP energy: -21.13 eV per cell
V: 82.38 Å³/cell

Cell: 9.3720 9.3720 9.3720 Å, 19.77 19.77 19.77°
Fractional positions:
As 0.0101 0.0101 0.0101
As 0.2702 0.2702 0.2702
Br 0.4776 0.4776 0.4776
Mo 0.7421 0.7421 0.7421

---

No. 18
Here is a geometry-optimized MoAs2BrN structure from Alexandria. Energies are from GGA-PBE.

Summary:
VASP energy: -23.82 eV per cell
V: 125.99 Å³/cell

Cell: 4.8394 4.8394 5.3796 Å, 90.00 90.00 90.00°
Each line ends with the local moment (μB).
Fractional positions:
As 0.5000 0.0000 0.0000  -0.09
As 0.0000 0.5000 0.0000  -0.09
Br 0.0000 0.0000 0.5000  0.06
N 0.5000 0.5000 0.5000  1.82
Mo 0.0000 0.0000 0.0000  0.16

---

No. 19
Here is a geometry-optimized MoAs2BrN structure from Alexandria. Energies are from GGA-PBE.

Summary:
VASP energy: -24.22 eV per cell
V: 84.54 Å³/cell

Cell: 4.2102 4.2102 4.7691 Å, 90.00 90.00 90.00°
Each line ends with the local moment (μB).
Fractional positions:
Mo 0.5000 0.5000 0.5000  2.28
N 0.0000 0.0000 0.0000  -0.10
Br 0.0000 0.0000 0.5000  -0.06
As 0.5000 0.0000 0.0000  -0.11
As 0.0000 0.5000 0.0000  -0.11

---

No. 20
Here is a geometry-optimized NaMoAs2Br structure from Alexandria. Energies are from GGA-PBE.

Summary:
VASP energy: -23.55 eV per cell
V: 134.47 Å³/cell

Cell: 4.8189 4.8189 5.7905 Å, 90.00 90.00 90.00°
Each line ends with the local moment (μB).
Fractional positions:
Mo 0.0000 0.0000 0.0000  0.37
As 0.0000 0.5000 0.0000  -0.01
As 0.5000 0.0000 0.0000  -0.01
Br 0.0000 0.0000 0.5000  -0.01
Na 0.5000 0.5000 0.5000  0.00